Version A
First-principles (PBE-GGA) data for a relaxed PuTh3C3 crystal, as listed in the Alexandria database.

Calculated values
symmetry: No. 221

abc: 5.2118 5.2118 5.2118
angles: 90.00 90.00 90.00
Fractional coordinates of all 7 atoms:
Pu (0.0000, 0.0000, 0.0000)
Th (0.0000, 0.5000, 0.5000)
Th (0.5000, 0.0000, 0.5000)
Th (0.5000, 0.5000, 0.0000)
C (0.0000, 0.0000, 0.5000)
C (0.0000, 0.5000, 0.0000)
C (0.5000, 0.0000, 0.0000)


Version B
First-principles (PBE-GGA) data for a relaxed PuTh3C3 crystal, as listed in the Alexandria database.

Calculated values
symmetry: No. 63

abc: 7.3286 7.3286 5.3507
angles: 90.00 90.00 92.52
Fractional coordinates of all 14 atoms:
Pu (0.1367, 0.8633, 0.7500)
Pu (0.8633, 0.1367, 0.2500)
Th (0.1210, 0.3688, 0.7500)
Th (0.3688, 0.1210, 0.2500)
Th (0.3820, 0.6180, 0.2500)
Th (0.6180, 0.3820, 0.7500)
Th (0.6312, 0.8790, 0.7500)
Th (0.8790, 0.6312, 0.2500)
C (0.1080, 0.3627, 0.2500)
C (0.3627, 0.1080, 0.7500)
C (0.3758, 0.6242, 0.7500)
C (0.6242, 0.3758, 0.2500)
C (0.6373, 0.8920, 0.2500)
C (0.8920, 0.6373, 0.7500)


It is version A that is the least stable of them.


Version A
First-principles (PBE-GGA) data for a relaxed TmPu2C crystal, as listed in the Alexandria database.

Calculated values
symmetry: No. 123

abc: 3.1536 3.1536 8.5673
angles: 90.00 90.00 90.00
Fractional coordinates of all 4 atoms:
Tm (0.0000, 0.0000, 0.0000)
Pu (0.5000, 0.5000, 0.3413)
Pu (0.5000, 0.5000, 0.6587)
C (0.0000, 0.0000, 0.5000)


Version B
First-principles (PBE-GGA) data for a relaxed TmPu2C crystal, as listed in the Alexandria database.

Calculated values
symmetry: No. 166

abc: 6.7305 6.7305 6.7305
angles: 34.84 34.84 34.84
Fractional coordinates of all 4 atoms:
Tm (0.0000, 0.0000, 0.0000)
Pu (0.1509, 0.1509, 0.1509)
Pu (0.8491, 0.8491, 0.8491)
C (0.5000, 0.5000, 0.5000)


It is version B that is the least stable of them.


Version A
First-principles (PBE-GGA) data for a relaxed PuU2C3 crystal, as listed in the Alexandria database.

Calculated values
symmetry: No. 71

abc: 6.0487 6.0487 6.0487
angles: 146.21 131.30 60.59
Fractional coordinates of all 6 atoms:
Pu (0.0000, 0.0000, 0.0000)
U (0.3351, 0.3351, 0.0000)
U (0.6649, 0.6649, 0.0000)
C (0.1812, 0.6812, 0.5000)
C (0.5000, 0.0000, 0.5000)
C (0.8188, 0.3188, 0.5000)


Version B
First-principles (PBE-GGA) data for a relaxed PuU2C3 crystal, as listed in the Alexandria database.

Calculated values
symmetry: No. 51

abc: 6.1256 3.2358 8.8943
angles: 90.00 90.00 90.00
Fractional coordinates of all 12 atoms:
Pu (0.2500, 0.0000, 0.0531)
Pu (0.7500, 0.0000, 0.9469)
U (0.2500, 0.0000, 0.7176)
U (0.2500, 0.5000, 0.3881)
U (0.7500, 0.0000, 0.2824)
U (0.7500, 0.5000, 0.6119)
C (0.0000, 0.0000, 0.5000)
C (0.0030, 0.5000, 0.8197)
C (0.4970, 0.5000, 0.8197)
C (0.5000, 0.0000, 0.5000)
C (0.5030, 0.5000, 0.1803)
C (0.9970, 0.5000, 0.1803)


It is version B that is the least stable of them.


Version A
First-principles (PBE-GGA) data for a relaxed PuVC crystal, as listed in the Alexandria database.

Calculated values
symmetry: No. 187

abc: 3.5931 3.5931 3.8818
angles: 90.00 90.00 120.00
Fractional coordinates of all 3 atoms:
Pu (0.0000, 0.0000, 0.0000)
V (0.6667, 0.3333, 0.5000)
C (0.3333, 0.6667, 0.5000)


Version B
First-principles (PBE-GGA) data for a relaxed PuVC crystal, as listed in the Alexandria database.

Calculated values
symmetry: No. 12

abc: 5.6116 5.6116 5.4130
angles: 112.06 112.06 30.26
Fractional coordinates of all 6 atoms:
Pu (0.0956, 0.0956, 0.4578)
Pu (0.9044, 0.9044, 0.5422)
V (0.3583, 0.3583, 0.0020)
V (0.6417, 0.6417, 0.9980)
C (0.2482, 0.2482, 0.2369)
C (0.7518, 0.7518, 0.7631)


It is version A that is the least stable of them.


Version A
First-principles (PBE-GGA) data for a relaxed PuWC2 crystal, as listed in the Alexandria database.

Calculated values
symmetry: No. 160

abc: 6.1398 6.1398 6.1398
angles: 29.70 29.70 29.70
Fractional coordinates of all 4 atoms:
Pu (0.0000, 0.0000, 0.0000)
W (0.1741, 0.1741, 0.1741)
C (0.5762, 0.5762, 0.5762)
C (0.7679, 0.7679, 0.7679)


Version B
First-principles (PBE-GGA) data for a relaxed PuWC2 crystal, as listed in the Alexandria database.

Calculated values
symmetry: No. 62

abc: 5.7070 3.2880 10.9385
angles: 90.00 90.00 90.00
Fractional coordinates of all 16 atoms:
Pu (0.0833, 0.2500, 0.1397)
Pu (0.4167, 0.7500, 0.6397)
Pu (0.5833, 0.2500, 0.3603)
Pu (0.9167, 0.7500, 0.8603)
W (0.0855, 0.7500, 0.3934)
W (0.4145, 0.2500, 0.8934)
W (0.5855, 0.7500, 0.1066)
W (0.9145, 0.2500, 0.6066)
C (0.1641, 0.2500, 0.7541)
C (0.2357, 0.2500, 0.4888)
C (0.2643, 0.7500, 0.9888)
C (0.3359, 0.7500, 0.2541)
C (0.6641, 0.2500, 0.7459)
C (0.7357, 0.2500, 0.0112)
C (0.7643, 0.7500, 0.5112)
C (0.8359, 0.7500, 0.2459)


It is version A that is the least stable of them.


Version A
First-principles (PBE-GGA) data for a relaxed PuWC2 crystal, as listed in the Alexandria database.

Calculated values
symmetry: No. 26

abc: 3.0976 6.4515 5.4654
angles: 90.00 90.00 90.00
Fractional coordinates of all 8 atoms:
Pu (0.0000, 0.1450, 0.0000)
Pu (0.0000, 0.8550, 0.5000)
W (0.5000, 0.4044, 0.5530)
W (0.5000, 0.5956, 0.0530)
C (0.0000, 0.4693, 0.2820)
C (0.0000, 0.5307, 0.7820)
C (0.5000, 0.1150, 0.6597)
C (0.5000, 0.8850, 0.1597)


Version B
First-principles (PBE-GGA) data for a relaxed PuWC2 crystal, as listed in the Alexandria database.

Calculated values
symmetry: No. 166

abc: 5.8669 5.8669 5.8669
angles: 31.77 31.77 31.77
Fractional coordinates of all 4 atoms:
Pu (0.0000, 0.0000, 0.0000)
W (0.5000, 0.5000, 0.5000)
C (0.2388, 0.2388, 0.2388)
C (0.7612, 0.7612, 0.7612)


It is version A that is the least stable of them.